Entry 1:
HfZr2Ni2As4Pd2: relaxed, GGA-PBE.

Values from the calculation:
Space group = Pm

Structure (POSCAR):
```
HfZr2Ni2As4Pd2
1.0
6.518 0.000 0.000
0.000 3.898 0.000
-0.022 0.000 7.549
Hf Zr Ni As Pd
1 2 2 4 2
direct
0.000 0.000 0.000 Hf
0.499 0.000 0.859 Zr
0.930 0.500 0.370 Zr
0.617 0.000 0.237 Ni
0.823 0.500 0.746 Ni
0.213 0.500 0.802 As
0.232 0.000 0.318 As
0.689 0.000 0.551 As
0.712 0.500 0.056 As
0.083 0.000 0.625 Pd
0.323 0.500 0.129 Pd
```

---

Entry 2:
HfZr2Ni2As4Pd2: relaxed, GGA-PBE.

Values from the calculation:
Space group = Pm

Structure (POSCAR):
```
HfZr2Ni2As4Pd2
1.0
6.549 0.000 0.000
0.000 3.883 0.000
-0.029 0.000 7.477
Hf Zr Ni As Pd
1 2 2 4 2
direct
0.000 0.000 0.000 Hf
0.442 0.500 0.518 Zr
0.508 0.000 0.143 Zr
0.113 0.000 0.377 Ni
0.596 0.000 0.769 Ni
0.190 0.000 0.687 As
0.213 0.500 0.211 As
0.729 0.500 0.919 As
0.737 0.000 0.471 As
0.329 0.500 0.887 Pd
0.824 0.500 0.266 Pd
```

---

no.,volume (Å³ per cell),excess energy over the best structure of this formula in the dataset (meV/atom),final energy (eV per atom)
1,191.8,32.5,-6.890
2,190.1,20.5,-6.902